Record 1
# Ce3TcBr3

Ce3TcBr3 after structural relaxation (PBE, Alexandria).

Cell lengths 4.1335, 9.0044, 11.7922 Å; angles 93.02, 90.00, 90.00 degrees
Each line ends with the local moment (μB).
Element x y z (fractional)
Ce 0.2500 0.3334 0.6301  0.83
Ce 0.7500 0.6666 0.3699  0.83
Ce 0.2500 0.8978 0.6124  0.74
Ce 0.7500 0.1022 0.3876  0.74
Ce 0.2500 0.8754 0.1556  0.78
Ce 0.7500 0.1246 0.8444  0.78
Tc 0.2500 0.8802 0.3605  -0.16
Tc 0.7500 0.1198 0.6395  -0.16
Br 0.2500 0.3861 0.3709  -0.01
Br 0.7500 0.6139 0.6291  -0.01
Br 0.2500 0.8767 0.8825  -0.01
Br 0.7500 0.1233 0.1175  -0.01
Br 0.2500 0.3689 0.8838  -0.01
Br 0.7500 0.6311 0.1162  -0.01

## Properties
M_tot, μB/atom: 0.382
Space group: P2_1/m, No. 11


Record 2
# Ce2TcBr

Ce2TcBr after structural relaxation (PBE, Alexandria).

Cell lengths 4.0405, 5.9284, 9.7498 Å; angles 62.16, 90.00, 90.00 degrees
Each line ends with the local moment (μB).
Element x y z (fractional)
Ce 0.4225 0.5623 0.1293  0.23
Ce 0.4225 0.0743 0.7301  0.53
Ce 0.9225 0.9257 0.2699  0.53
Ce 0.9225 0.4377 0.8707  0.23
Tc 0.4225 0.1297 0.0611  -0.10
Tc 0.9225 0.8703 0.9389  -0.10
Br 0.9226 0.3067 0.4212  0.00
Br 0.4226 0.6933 0.5788  0.00

## Properties
M_tot, μB/atom: 0.200
Space group: P2_1/m, No. 11
Relative energy among the computed polymorphs, kcal/mol of atoms: 0.00


Record 3
# Ce4TcBr5

Ce4TcBr5 after structural relaxation (PBE, Alexandria).

Cell lengths 4.1079, 8.8592, 9.5072 Å; angles 104.30, 102.48, 90.00 degrees
Each line ends with the local moment (μB).
Element x y z (fractional)
Ce 0.3518 0.9191 0.7035  1.04
Ce 0.9996 0.7774 0.9991  0.86
Ce 0.6482 0.0809 0.2965  1.04
Ce 0.0004 0.2226 0.0009  0.86
Tc 0.5000 0.0000 0.0000  -0.21
Br 0.8316 0.6621 0.6632  -0.01
Br 0.8289 0.1623 0.6578  -0.01
Br 0.1711 0.8377 0.3422  -0.01
Br 0.5000 0.5000 0.0000  -0.01
Br 0.1684 0.3379 0.3368  -0.01

## Properties
M_tot, μB/atom: 0.468
Space group: C2/m, No. 12


Record 4
# Ce2TcBr

Ce2TcBr after structural relaxation (PBE, Alexandria).

Cell lengths 4.0148, 4.0148, 8.0421 Å; angles 75.55, 75.55, 60.00 degrees
Each line ends with the local moment (μB).
Element x y z (fractional)
Br 0.5000 0.5000 0.5000  -0.01
Tc 0.0000 0.0000 0.0000  -0.10
Ce 0.7320 0.7320 0.8039  0.28
Ce 0.2680 0.2680 0.1961  0.28

## Properties
M_tot, μB/atom: 0.131
Space group: R-3m, No. 166
Relative energy among the computed polymorphs, kcal/mol of atoms: 1.36


Record 5
# CeTcBr

CeTcBr after structural relaxation (PBE, Alexandria).

Cell lengths 4.1269, 4.1269, 11.7766 Å; angles 79.91, 79.91, 60.00 degrees
Each line ends with the local moment (μB).
Element x y z (fractional)
Ce 0.4400 0.4400 0.6800  0.65
Ce 0.5600 0.5600 0.3200  0.65
Tc 0.1572 0.1572 0.5283  -0.02
Tc 0.8428 0.8428 0.4717  -0.02
Br 0.7179 0.7179 0.8464  -0.01
Br 0.2821 0.2821 0.1536  -0.01

## Properties
M_tot, μB/atom: 0.248
Space group: R-3m, No. 166


Record 6
# Ce2TcBr

Ce2TcBr after structural relaxation (PBE, Alexandria).

Cell lengths 3.3965, 3.3965, 8.1911 Å; angles 90.00, 90.00, 90.00 degrees
Each line ends with the local moment (μB).
Element x y z (fractional)
Br 0.5000 0.5000 0.5000  -0.01
Tc 0.5000 0.5000 0.0000  -0.15
Ce 0.0000 0.0000 0.7868  0.62
Ce 0.0000 0.0000 0.2132  0.62

## Properties
M_tot, μB/atom: 0.353
Space group: P4/mmm, No. 123
Relative energy among the computed polymorphs, kcal/mol of atoms: 1.36


Record 7
# Ce2TcBr

Ce2TcBr after structural relaxation (PBE, Alexandria).

Cell lengths 3.9740, 3.9740, 8.1689 Å; angles 75.92, 75.92, 60.00 degrees
Each line ends with the local moment (μB).
Element x y z (fractional)
Ce 0.0640 0.0640 0.8079  0.07
Ce 0.2671 0.2671 0.1987  0.47
Tc 0.6703 0.6703 0.9891  -0.09
Br 0.4986 0.4986 0.5043  -0.01

## Properties
M_tot, μB/atom: 0.134
Space group: R3m, No. 160
Relative energy among the computed polymorphs, kcal/mol of atoms: 1.71


Record 8
# Ce2TeBr2

Ce2TeBr2 after structural relaxation (PBE, Alexandria).

Cell lengths 4.3333, 4.3351, 10.7969 Å; angles 90.38, 90.00, 119.99 degrees
Each line ends with the local moment (μB).
Element x y z (fractional)
Ce 0.8314 0.6627 0.3284  1.08
Ce 0.1686 0.3373 0.6716  1.08
Te 0.5000 0.0000 0.5000  -0.02
Br 0.1628 0.3257 0.1644  -0.01
Br 0.8372 0.6743 0.8356  -0.01

## Properties
M_tot, μB/atom: 0.514
Space group: C2/m, No. 12


Record 9
# Ce4Te2Br3

Ce4Te2Br3 after structural relaxation (PBE, Alexandria).

Cell lengths 4.3697, 4.3697, 17.6651 Å; angles 90.05, 89.95, 120.00 degrees
Each line ends with the local moment (μB).
Element x y z (fractional)
Ce 0.3336 0.6664 0.9066  0.92
Ce 0.9992 0.0008 0.3019  1.11
Ce 0.0008 0.9992 0.6981  1.11
Ce 0.6664 0.3336 0.0934  0.92
Te 0.6672 0.3328 0.8019  -0.02
Te 0.3328 0.6672 0.1981  -0.02
Br 0.6656 0.3344 0.4010  -0.01
Br 0.0000 0.0000 0.0000  -0.01
Br 0.3344 0.6656 0.5990  -0.01

## Properties
M_tot, μB/atom: 0.546
Space group: C2/m, No. 12


Record 10
# Ce2TeBr

Ce2TeBr after structural relaxation (PBE, Alexandria).

Cell lengths 5.3798, 5.3798, 5.3798 Å; angles 60.00, 60.00, 60.00 degrees
Each line ends with the local moment (μB).
Element x y z (fractional)
Te 0.5000 0.5000 0.5000  -0.03
Br 0.0000 0.0000 0.0000  -0.01
Ce 0.2500 0.2500 0.2500  1.26
Ce 0.7500 0.7500 0.7500  1.26

## Properties
M_tot, μB/atom: 0.840
Space group: Fm-3m, No. 225
Relative energy among the computed polymorphs, kcal/mol of atoms: 2.62


Record 11
# Ce2TeBr

Ce2TeBr after structural relaxation (PBE, Alexandria).

Cell lengths 4.4261, 4.4261, 7.3131 Å; angles 72.39, 72.39, 60.00 degrees
Each line ends with the local moment (μB).
Element x y z (fractional)
Te 0.5000 0.5000 0.5000  -0.02
Br 0.0000 0.0000 0.0000  -0.01
Ce 0.2561 0.2561 0.2317  0.91
Ce 0.7439 0.7439 0.7683  0.91

## Properties
M_tot, μB/atom: 0.550
Space group: R-3m, No. 166
Relative energy among the computed polymorphs, kcal/mol of atoms: 0.00


Record 12
# Ce2TeBr

Ce2TeBr after structural relaxation (PBE, Alexandria).

Cell lengths 4.1015, 4.1015, 8.5857 Å; angles 76.18, 76.18, 60.00 degrees
Each line ends with the local moment (μB).
Element x y z (fractional)
Ce 0.0820 0.0820 0.7540  1.13
Ce 0.2515 0.2515 0.2456  1.19
Te 0.6670 0.6670 0.9989  -0.02
Br 0.4995 0.4995 0.5015  -0.01

## Properties
M_tot, μB/atom: 0.782
Space group: R3m, No. 160
Relative energy among the computed polymorphs, kcal/mol of atoms: 1.46


Record 13
# CeTeBr3

CeTeBr3 after structural relaxation (PBE, Alexandria).

Cell lengths 8.0753, 8.0753, 7.4440 Å; angles 101.03, 119.56, 111.64 degrees
Each line ends with the local moment (μB).
Element x y z (fractional)
Ce 0.6387 0.7225 0.3611  0.62
Ce 0.3613 0.2775 0.6389  0.62
Te 0.6632 0.0595 0.7227  0.21
Te 0.3368 0.9405 0.2773  0.21
Br 0.8519 0.0277 0.2577  0.00
Br 0.2300 0.4058 0.2577  0.00
Br 0.7700 0.5942 0.7423  0.00
Br 0.7136 0.4475 0.1612  -0.01
Br 0.1481 0.9723 0.7423  0.00
Br 0.2864 0.5525 0.8388  -0.01

## Properties
M_tot, μB/atom: 0.207
Space group: C2/m, No. 12


Record 14
# CeTe2Br4

CeTe2Br4 after structural relaxation (PBE, Alexandria).

Cell lengths 4.2432, 7.9316, 9.1635 Å; angles 86.33, 103.39, 90.00 degrees
Each line ends with the local moment (μB).
Element x y z (fractional)
Te 0.2747 0.3924 0.5494  0.00
Te 0.7253 0.6076 0.4506  0.00
Br 0.1549 0.9037 0.3098  -0.01
Br 0.8451 0.0963 0.6902  -0.01
Br 0.4755 0.7587 0.9510  -0.01
Br 0.5245 0.2413 0.0490  -0.01
Ce 0.0000 0.0000 0.0000  0.71

## Properties
M_tot, μB/atom: 0.100
Space group: C2/m, No. 12


Record 15
# Ce2TeBr

Ce2TeBr after structural relaxation (PBE, Alexandria).

Cell lengths 3.8158, 3.8158, 7.5228 Å; angles 90.00, 90.00, 90.00 degrees
Each line ends with the local moment (μB).
Element x y z (fractional)
Te 0.5000 0.5000 0.0000  -0.03
Br 0.5000 0.5000 0.5000  -0.01
Ce 0.0000 0.0000 0.7551  1.17
Ce 0.0000 0.0000 0.2449  1.17

## Properties
M_tot, μB/atom: 0.751
Space group: P4/mmm, No. 123
Relative energy among the computed polymorphs, kcal/mol of atoms: 3.13


Record 16
# Ce5Te4Br

Ce5Te4Br after structural relaxation (PBE, Alexandria).

Cell lengths 5.2856, 5.2856, 12.4207 Å; angles 77.71, 77.71, 60.00 degrees
Each line ends with the local moment (μB).
Element x y z (fractional)
Ce 0.2712 0.2712 0.1863  -0.91
Ce 0.0000 0.0000 0.0000  -1.05
Ce 0.7288 0.7288 0.8137  -0.91
Ce 0.8046 0.8046 0.5862  -0.88
Ce 0.1954 0.1954 0.4138  -0.88
Te 0.8972 0.8972 0.3084  0.02
Te 0.3643 0.3643 0.9071  0.03
Te 0.6357 0.6357 0.0929  0.03
Te 0.1028 0.1028 0.6916  0.02
Br 0.5000 0.5000 0.5000  0.01

## Properties
M_tot, μB/atom: 0.546
Space group: R-3m, No. 166


Record 17
# Ce3TeBr3

Ce3TeBr3 after structural relaxation (PBE, Alexandria).

Cell lengths 7.3397, 7.3397, 11.4847 Å; angles 71.36, 71.36, 60.00 degrees
Each line ends with the local moment (μB).
Element x y z (fractional)
Ce 0.2530 0.6370 0.1651  1.06
Ce 0.9449 0.2530 0.1651  1.06
Ce 0.6370 0.9449 0.1651  1.06
Ce 0.3630 0.0551 0.8349  1.06
Ce 0.0551 0.7470 0.8349  1.06
Ce 0.7470 0.3630 0.8349  1.06
Te 0.3333 0.3333 0.0000  -0.02
Te 0.6667 0.6667 0.0000  -0.02
Br 0.4605 0.7621 0.6664  -0.01
Br 0.7621 0.1110 0.6664  -0.01
Br 0.1110 0.4605 0.6664  -0.01
Br 0.8890 0.5395 0.3336  -0.01
Br 0.2379 0.8890 0.3336  -0.01
Br 0.5395 0.2379 0.3336  -0.01

## Properties
M_tot, μB/atom: 0.570
Space group: R-3, No. 148
Relative energy among the computed polymorphs, kcal/mol of atoms: 0.89


Record 18
# CeTeBr2

CeTeBr2 after structural relaxation (PBE, Alexandria).

Cell lengths 4.1102, 7.3002, 9.3513 Å; angles 90.00, 90.00, 106.35 degrees
Each line ends with the local moment (μB).
Element x y z (fractional)
Ce 0.2608 0.5216 0.2500  0.26
Ce 0.7392 0.4784 0.7500  0.26
Te 0.9170 0.8340 0.2500  -0.07
Te 0.0830 0.1660 0.7500  -0.07
Br 0.3438 0.6875 0.5690  -0.01
Br 0.6562 0.3125 0.4310  -0.01
Br 0.6562 0.3125 0.0690  -0.01
Br 0.3438 0.6875 0.9310  -0.01

## Properties
M_tot, μB/atom: 0.026
Space group: Cmcm, No. 63
Relative energy among the computed polymorphs, kcal/mol of atoms: 0.00


Record 19
# CeTeBr2

CeTeBr2 after structural relaxation (PBE, Alexandria).

Cell lengths 3.6974, 3.6974, 12.5142 Å; angles 81.50, 81.50, 60.00 degrees
Each line ends with the local moment (μB).
Element x y z (fractional)
Te 0.0000 0.0000 0.0000  0.13
Br 0.1113 0.1113 0.6662  -0.01
Br 0.8887 0.8887 0.3338  -0.01
Ce 0.5000 0.5000 0.5000  1.21

## Properties
M_tot, μB/atom: 0.492
Space group: R-3m, No. 166
Relative energy among the computed polymorphs, kcal/mol of atoms: 10.10


Record 20
# Ce3TeBr3

Ce3TeBr3 after structural relaxation (PBE, Alexandria).

Cell lengths 10.5457, 10.5457, 10.5457 Å; angles 109.47, 109.47, 109.47 degrees
Each line ends with the local moment (μB).
Element x y z (fractional)
Ce 0.0004 0.5002 0.2502  1.07
Ce 0.4998 0.9996 0.2498  1.07
Ce 0.2500 0.9998 0.5002  1.07
Ce 0.0002 0.7500 0.9998  1.07
Ce 0.0002 0.2502 0.5004  1.07
Ce 0.7498 0.9998 0.9996  1.07
Ce 0.7502 0.5004 0.5002  1.07
Ce 0.7498 0.7500 0.2502  1.07
Ce 0.4996 0.2498 0.9998  1.07
Ce 0.2500 0.2502 0.2498  1.07
Ce 0.7502 0.2498 0.7500  1.07
Ce 0.4998 0.5002 0.7500  1.07
Te 0.7500 0.5000 0.0000  -0.02
Te 0.5000 0.2500 0.5000  -0.02
Te 0.7500 0.2500 0.2500  -0.02
Te 0.0000 0.0000 0.2500  -0.02
Br 0.2438 0.9938 0.9877  -0.01
Br 0.7500 0.7562 0.7438  -0.01
Br 0.4877 0.7438 0.9938  -0.01
Br 0.0062 0.2500 0.9938  -0.01
Br 0.2562 0.7438 0.2500  -0.01
Br 0.4938 0.5062 0.2500  -0.01
Br 0.2438 0.2500 0.7562  -0.01
Br 0.2562 0.5123 0.5062  -0.01
Br 0.7500 0.9938 0.5062  -0.01
Br 0.0123 0.5062 0.7562  -0.01
Br 0.0062 0.7562 0.5123  -0.01
Br 0.4938 0.9877 0.7438  -0.01

## Properties
M_tot, μB/atom: 0.553
Space group: I4_132, No. 214
Relative energy among the computed polymorphs, kcal/mol of atoms: 0.00


Per-record volume, A^3/atom: 31.3; 25.8; 32.7; 26.9; 28.4; 23.6; 26.8; 35.1; 32.5; 27.5; 29.1; 30.1; 34.8; 42.8; 27.4; 29.1; 35.6; 33.7; 36.5; 32.2
Per-record energy relative to the elements, uncorrected, eV per atom: -1.08; -0.65; -1.25; -0.59; -0.83; -0.59; -0.58; -1.53; -1.38; -1.10; -1.21; -1.15; -1.36; -1.07; -1.08; -1.08; -1.35; -1.35; -0.91; -1.39
Per-record uncorrected energy, eV/atom: -5.818; -6.629; -5.496; -6.570; -6.822; -6.570; -6.555; -5.199; -5.278; -5.270; -5.383; -5.320; -4.176; -3.776; -5.248; -5.468; -5.056; -4.456; -4.018; -5.095